*1*
This record from Alexandria describes a relaxed structure of Cd3Re5. The functional is PBE.

Cell and atoms, written as extended XYZ:
```
16
Lattice="4.943 0.044 -0.132 2.530 7.636 -0.339 2.279 -0.262 7.818" Properties=species:S:1:pos:R:3 pbc="T T T"
Re 4.651 5.035 5.891
Re 7.431 5.718 2.353
Re 6.110 3.835 4.003
Re 4.633 2.490 5.754
Re 7.398 5.901 4.953
Re 2.355 1.518 2.400
Re 5.121 4.928 1.600
Re 3.644 3.583 3.350
Re 2.323 1.699 5.000
Re 5.103 2.383 1.463
Cd 4.831 0.677 3.668
Cd 3.778 7.071 0.046
Cd 2.544 3.662 0.555
Cd 7.209 3.756 6.799
Cd 5.975 0.347 7.307
Cd 4.923 6.741 3.685
```

Results
SG: No. 2

*2*
This record from Alexandria describes a relaxed structure of Cd3Re5. The functional is PBE.

Cell and atoms, written as extended XYZ:
```
16
Lattice="-7.392 3.869 1.268 0.724 -5.839 -6.052 -1.230 -3.364 3.099" Properties=species:S:1:pos:R:3 pbc="T T T"
Re -7.572 2.004 0.981
Re -7.717 -3.470 -1.400
Re -1.603 -0.163 0.996
Re -2.091 -2.868 1.486
Re -3.211 -5.967 -0.514
Re -2.596 -4.285 -2.063
Re -4.687 0.633 -1.172
Re -5.302 -1.049 0.377
Re -7.018 0.667 3.369
Re -5.807 -2.466 -3.172
Cd -0.637 -4.821 -0.058
Cd -7.260 -0.513 -1.628
Cd -3.107 -6.839 -3.229
Cd -2.932 -1.616 -1.108
Cd -4.066 -4.334 -4.509
Cd -4.966 -3.718 -0.577
```

Results
SG: No. 193

Which is most stable, and by how much? *1*, by 350 meV per atom.

*1*
This record from Alexandria describes a relaxed structure of Cd3ReRh. The functional is PBE.

Cell and atoms, written as extended XYZ:
```
5
Lattice="-1.446 4.517 -2.076 -3.666 -2.430 -2.733 -3.358 0.707 3.877" Properties=species:S:1:pos:R:3 pbc="T T T"
Re 0.000 0.000 0.000
Rh -4.235 1.397 -0.466
Cd -1.833 -1.215 -1.366
Cd -1.679 0.353 1.938
Cd -0.723 2.259 -1.038
```

Results
SG: No. 221

*2*
This record from Alexandria describes a relaxed structure of Cd3ReRh. The functional is PBE.

Cell and atoms, written as extended XYZ:
```
5
Lattice="-4.465 -1.430 1.943 1.344 -4.869 -0.496 2.004 0.078 4.662" Properties=species:S:1:pos:R:3 pbc="T T T"
Re -0.559 -3.111 3.055
Rh 0.000 0.000 0.000
Cd 0.672 -2.434 -0.248
Cd 1.002 0.039 2.331
Cd -2.232 -0.715 0.972
```

Results
SG: No. 221

Which is most stable, and by how much? *2*, by 226 meV per atom.

*1*
This record from Alexandria describes a relaxed structure of Cd2ReRh. The functional is PBE.

Cell and atoms, written as extended XYZ:
```
4
Lattice="4.362 -1.343 -1.622 4.729 1.043 -0.122 1.459 -2.844 4.170" Properties=species:S:1:pos:R:3 pbc="T T T"
Cd 0.047 -0.022 0.023
Cd 2.602 -0.774 0.596
Re 5.270 -1.668 1.367
Rh 7.906 -2.253 1.653
```

Results
SG: No. 8

*2*
This record from Alexandria describes a relaxed structure of Cd2ReRh. The functional is PBE.

Cell and atoms, written as extended XYZ:
```
4
Lattice="1.193 1.282 2.181 -2.144 -1.638 0.735 5.923 -7.285 1.045" Properties=species:S:1:pos:R:3 pbc="T T T"
Cd 1.435 -1.764 0.253
Cd 4.489 -5.520 0.792
Re 2.486 -3.820 1.980
Rh -0.476 -0.178 1.458
```

Results
SG: No. 65

*3*
This record from Alexandria describes a relaxed structure of Cd2ReRh. The functional is PBE.

Cell and atoms, written as extended XYZ:
```
4
Lattice="-1.072 1.504 -2.206 3.318 -1.990 -2.970 -3.086 -3.660 -0.995" Properties=species:S:1:pos:R:3 pbc="T T T"
Cd 0.000 0.000 0.000
Cd 1.123 -0.243 -2.588
Re -2.079 -1.078 -1.600
Rh 0.116 -2.825 -1.983
```

Results
SG: No. 47

Which is most stable, and by how much? *1*, by 68 meV per atom.

*1*
This record from Alexandria describes a relaxed structure of Cd2ReRh. The functional is PBE.

Cell and atoms, written as extended XYZ:
```
4
Lattice="2.290 -3.503 -1.930 -0.972 -4.337 1.217 -2.145 -2.800 -2.966" Properties=species:S:1:pos:R:3 pbc="T T T"
Re -0.413 -5.320 -1.840
Rh 0.000 0.000 0.000
Cd -0.207 -2.660 -0.920
Cd -0.620 -7.980 -2.760
```

Results
SG: No. 225

*2*
This record from Alexandria describes a relaxed structure of Cd2ReRh. The functional is PBE.

Cell and atoms, written as extended XYZ:
```
4
Lattice="-5.844 -7.444 1.440 -3.856 -8.760 -0.180 -3.466 -8.516 2.665" Properties=species:S:1:pos:R:3 pbc="T T T"
Cd -9.845 -18.484 2.935
Cd -3.321 -6.236 0.990
Re -6.583 -12.360 1.963
Rh 0.000 0.000 0.000
```

Results
SG: No. 166

*3*
This record from Alexandria describes a relaxed structure of Cd2ReRh. The functional is PBE.

Cell and atoms, written as extended XYZ:
```
8
Lattice="-5.536 2.089 -4.713 -5.128 -1.523 5.349 -5.148 2.763 1.201" Properties=species:S:1:pos:R:3 pbc="T T T"
Re 0.000 0.000 0.000
Re -8.008 2.567 -1.597
Rh -5.332 0.283 0.318
Rh -7.804 0.761 3.434
Cd -5.337 1.786 -1.933
Cd -5.236 0.019 3.010
Cd -7.908 2.270 1.189
Cd -13.144 2.581 1.407
```

Results
SG: No. 122

*4*
This record from Alexandria describes a relaxed structure of Cd2ReRh. The functional is PBE.

Cell and atoms, written as extended XYZ:
```
4
Lattice="5.399 -1.655 0.245 2.823 0.254 4.890 -4.219 -2.059 -3.148" Properties=species:S:1:pos:R:3 pbc="T T T"
Cd 6.101 -1.040 3.811
Cd 2.121 -0.362 1.325
Re -0.698 -0.903 0.871
Rh 0.590 -1.857 -1.452
```

Results
SG: No. 71

Which is most stable, and by how much? *2*, by 85 meV per atom.